[1]
First-principles (GGA-PBE) data for a relaxed structure of TbAgGeTeSe2, as listed in OQMD.

Summary:
Energy = -4.39 eV/atom
Symmetry = No. 63
V = 310.0 Å³ per cell

a b c (Å): 7.0982 7.0982 11.2338
angles (deg): 90.00 90.00 146.79
Element x y z (fractional)
Tb  0.0000  0.0000  0.0000
Tb  0.0000  0.0000  0.5000
Ag  0.4788  0.5212  0.7500
Ag  0.5212  0.4788  0.2500
Ge  0.2056  0.7944  0.2500
Ge  0.7944  0.2056  0.7500
Te  0.1214  0.8786  0.7500
Te  0.8786  0.1214  0.2500
Se  0.3584  0.6416  0.5672
Se  0.3584  0.6416  0.9328
Se  0.6416  0.3584  0.0672
Se  0.6416  0.3584  0.4328

[2]
First-principles (GGA-PBE) data for a relaxed structure of SrGdCuTeS2, as listed in OQMD.

Summary:
Energy = -5.08 eV/atom
Symmetry = No. 63
V = 314.7 Å³ per cell

a b c (Å): 7.4018 7.4018 10.9580
angles (deg): 90.00 90.00 148.38
Element x y z (fractional)
Sr  0.2108  0.7892  0.7500
Sr  0.7892  0.2108  0.2500
Gd  0.0000  0.0000  0.0000
Gd  0.0000  0.0000  0.5000
Cu  0.4825  0.5175  0.2500
Cu  0.5175  0.4825  0.7500
Te  0.1026  0.8974  0.2500
Te  0.8974  0.1026  0.7500
S  0.3814  0.6186  0.0821
S  0.3814  0.6186  0.4179
S  0.6186  0.3814  0.5821
S  0.6186  0.3814  0.9179

[3]
First-principles (GGA-PBE) data for a relaxed structure of MgGaSiIr, as listed in OQMD.

Summary:
Energy = -4.92 eV/atom
Symmetry = No. 216
V = 59.6 Å³ per cell

a b c (Å): 4.3852 4.3852 4.3852
angles (deg): 60.00 60.00 60.00
Element x y z (fractional)
Mg  0.0000  0.0000  0.0000
Ga  0.7500  0.7500  0.7500
Si  0.2500  0.2500  0.2500
Ir  0.5000  0.5000  0.5000

[4]
First-principles (GGA-PBE) data for a relaxed structure of PmSm2N3, as listed in OQMD.

Summary:
Energy = -7.99 eV/atom
Symmetry = No. 164
V = 97.3 Å³ per cell

a b c (Å): 3.5786 3.5786 8.7688
angles (deg): 90.00 90.00 120.00
Element x y z (fractional)
Pm  0.0000  0.0000  0.0000
Sm  0.3333  0.6667  0.3337
Sm  0.6667  0.3333  0.6663
N  0.0000  0.0000  0.5000
N  0.3333  0.6667  0.8326
N  0.6667  0.3333  0.1674

[5]
First-principles (GGA-PBE) data for a relaxed structure of GdGa2, as listed in OQMD.

Summary:
Energy = -3.67 eV/atom
Symmetry = No. 225
V = 77.4 Å³ per cell

a b c (Å): 4.7844 4.7844 4.7844
angles (deg): 60.00 60.00 60.00
Element x y z (fractional)
Gd  0.0000  0.0000  0.0000
Ga  0.2500  0.2500  0.2500
Ga  0.7500  0.7500  0.7500

[6]
First-principles (GGA-PBE) data for a relaxed structure of Li2SmSiSe4, as listed in OQMD.

Summary:
Energy = -4.53 eV/atom
Symmetry = No. 8
V = 169.5 Å³ per cell

a b c (Å): 6.3481 6.3481 5.7576
angles (deg): 110.67 110.67 110.97
Element x y z (fractional)
Li  0.2493  0.7507  0.0000
Li  0.7507  0.2493  0.0000
Sm  0.4064  0.4064  0.5007
Si  0.9516  0.9516  0.5004
Se  0.2832  0.8467  0.5013
Se  0.5422  0.5422  0.0984
Se  0.8467  0.2832  0.5013
Se  0.9441  0.9441  0.9034

[7]
First-principles (GGA-PBE) data for a relaxed structure of AlMoPd2, as listed in OQMD.

Summary:
Energy = -6.43 eV/atom
Symmetry = No. 216
V = 60.2 Å³ per cell

a b c (Å): 4.3985 4.3985 4.3985
angles (deg): 60.00 60.00 60.00
Element x y z (fractional)
Al  0.0000  0.0000  0.0000
Mo  0.2500  0.2500  0.2500
Pd  0.5000  0.5000  0.5000
Pd  0.7500  0.7500  0.7500

[8]
First-principles (GGA-PBE) data for a relaxed structure of GdYNi2B2C2, as listed in OQMD.

Summary:
Energy = -7.26 eV/atom
Symmetry = No. 99
V = 98.5 Å³ per cell

a b c (Å): 3.6104 3.6104 7.5577
angles (deg): 90.00 90.00 90.00
Element x y z (fractional)
Gd  0.0000  0.0000  0.0000
Y  0.5000  0.5000  0.6661
Ni  0.0000  0.5000  0.3328
Ni  0.5000  0.0000  0.3328
B  0.0000  0.0000  0.4766
B  0.5000  0.5000  0.1874
C  0.0000  0.0000  0.6745
C  0.5000  0.5000  0.9894

[9]
First-principles (GGA-PBE) data for a relaxed structure of TaHgBi, as listed in OQMD.

Summary:
Energy = -4.21 eV/atom
Symmetry = No. 216
V = 81.9 Å³ per cell

a b c (Å): 4.8744 4.8744 4.8744
angles (deg): 60.00 60.00 60.00
Element x y z (fractional)
Ta  0.0000  0.0000  0.0000
Hg  0.5000  0.5000  0.5000
Bi  0.7500  0.7500  0.7500

[10]
First-principles (GGA-PBE) data for a relaxed structure of Tb3InHg5, as listed in OQMD.

Summary:
Energy = -2.45 eV/atom
Symmetry = No. 193
V = 445.0 Å³ per cell

a b c (Å): 8.9754 8.9754 6.3788
angles (deg): 90.00 90.00 120.00
Element x y z (fractional)
Tb  0.0000  0.3389  0.2500
Tb  0.0000  0.6611  0.7500
Tb  0.3389  0.0000  0.2500
Tb  0.3389  0.3389  0.7500
Tb  0.6611  0.0000  0.7500
Tb  0.6611  0.6611  0.2500
In  0.0000  0.0000  0.0000
In  0.0000  0.0000  0.5000
Hg  0.0000  0.3289  0.7500
Hg  0.0000  0.6711  0.2500
Hg  0.3289  0.0000  0.7500
Hg  0.3289  0.3289  0.2500
Hg  0.3333  0.6667  0.0000
Hg  0.3333  0.6667  0.5000
Hg  0.6667  0.3333  0.0000
Hg  0.6667  0.3333  0.5000
Hg  0.6711  0.0000  0.2500
Hg  0.6711  0.6711  0.7500

[11]
First-principles (GGA-PBE) data for a relaxed structure of La2PtAu, as listed in OQMD.

Summary:
Energy of formation = -1003 meV/atom
Symmetry = No. 38
V = 105.8 Å³ per cell

a b c (Å): 4.7076 5.9772 5.9772
angles (deg): 38.99 90.00 90.00
Element x y z (fractional)
La  0.0000  0.0000  0.0000
La  0.5000  0.2712  0.2712
Pt  0.0000  0.7285  0.7285
Au  0.5000  0.5482  0.5482

[12]
First-principles (GGA-PBE) data for a relaxed structure of GdBNO, as listed in OQMD.

Summary:
Energy = -8.09 eV/atom
Symmetry = No. 29
V = 173.4 Å³ per cell

a b c (Å): 4.9540 7.7043 4.5434
angles (deg): 90.00 90.00 90.00
Element x y z (fractional)
Gd  0.0005  0.1783  0.0000
Gd  0.4995  0.1783  0.5000
Gd  0.5005  0.8217  0.0000
Gd  0.9995  0.8217  0.5000
B  0.1277  0.5036  0.7552
B  0.3723  0.5036  0.2552
B  0.6277  0.4964  0.7552
B  0.8723  0.4964  0.2552
N  0.1201  0.5018  0.4280
N  0.3799  0.5018  0.9280
N  0.6201  0.4982  0.4280
N  0.8799  0.4982  0.9280
O  0.0038  0.1240  0.5008
O  0.4962  0.1240  0.0008
O  0.5038  0.8760  0.5008
O  0.9962  0.8760  0.0008

[13]
First-principles (GGA-PBE) data for a relaxed structure of NaTaMo, as listed in OQMD.

Summary:
Energy = -6.37 eV/atom
Symmetry = No. 216
V = 63.9 Å³ per cell

a b c (Å): 4.4876 4.4876 4.4876
angles (deg): 60.00 60.00 60.00
Element x y z (fractional)
Na  0.0000  0.0000  0.0000
Ta  0.5000  0.5000  0.5000
Mo  0.2500  0.2500  0.2500